The following is a PBE-GGA calculation of a relaxed Cs2Li2ZnCl6 crystal, from the Alexandria database.

Energy (eV/cell): -71.87
E_form (uncorrected) (eV per atom): -1.641
Fermi-level density of states (states/eV/f.u.): 0.0

abc: 12.829 7.293 7.540
angles: 90.00 115.77 90.00
Space group C2/m (No. 12)
Symmetry-distinct sites (fractional):
Cs 0.216 0.000 0.170 (multiplicity 4)
Li 0.088 0.500 0.289 (multiplicity 4)
Zn 0.000 0.000 0.500 (multiplicity 2)
Cl 0.015 0.236 0.746 (multiplicity 8)
Cl 0.225 0.000 0.662 (multiplicity 4)